Density functional theory data (GGA-PBE) for an optimized crystal structure of Li2ScPt. Values from VASP.

Summary:
ΔH_f (0 K)	-578.7	meV/atom
symmetry	Imm2, No. 44
mass density	6.436	g/cm³

```
&SYSTEM
  ibrav = 0, nat = 4, ntyp = 3
/
ATOMIC_SPECIES
Sc 44.96 Sc.upf
Pt 195.08 Pt.upf
Li 6.94 Li.upf
ATOMIC_POSITIONS crystal
Sc 0.250 0.750 0.500
Pt 0.501 0.500 0.000
Li 0.999 0.000 0.000
Li 0.750 0.250 0.500
CELL_PARAMETERS angstrom
4.520 0.002 -0.001
0.031 4.520 0.014
-2.264 -2.263 3.200
```

***

Density functional theory data (GGA-PBE) for an optimized crystal structure of Er5Zn2Hg. Values from VASP.

Summary:
ΔH_f (0 K)	-268.5	meV/atom
symmetry	I4/mcm, No. 140
mass density	9.616	g/cm³

```
&SYSTEM
  ibrav = 0, nat = 16, ntyp = 3
/
ATOMIC_SPECIES
Er 167.26 Er.upf
Zn 65.41 Zn.upf
Hg 200.59 Hg.upf
ATOMIC_POSITIONS crystal
Er 0.506 0.699 0.706
Er 0.801 0.994 0.294
Er 0.000 0.000 0.000
Er 0.500 0.500 0.000
Er 0.199 0.006 0.706
Er 0.699 0.199 0.706
Er 0.006 0.506 0.706
Er 0.301 0.801 0.294
Er 0.994 0.494 0.294
Er 0.494 0.301 0.294
Zn 0.138 0.362 0.000
Zn 0.638 0.138 0.000
Zn 0.362 0.862 0.000
Zn 0.862 0.638 0.000
Hg 0.750 0.750 0.500
Hg 0.250 0.250 0.500
CELL_PARAMETERS angstrom
7.277 0.000 -3.435
-1.621 7.094 -3.435
-0.484 -0.607 8.401
```